Record 1
5
Lattice="3.8650 0.0000 0.0000 0.0000 3.8650 0.0000 0.0000 0.0000 3.4916" Properties=species:S:1:pos:R:3 comment="FeNiNF2 meta-GGA SCAN PBEsol geometry" raw_formation_energy_mev_per_atom=-348 volume_a3_per_cell=52.2 polymorph_energy_ev_per_atom=0.127 space_group=P4/mmm pbc="T T T"
Fe 0.0000 0.0000 0.0000
Ni 1.9325 1.9325 1.7458
N 0.0000 0.0000 1.7458
F 0.0000 1.9325 0.0000
F 1.9325 0.0000 0.0000

Record 2
5
Lattice="3.7582 0.0000 0.0000 0.0000 3.7582 0.0000 0.0000 0.0000 3.7121" Properties=species:S:1:pos:R:3 comment="FeNiNF2 meta-GGA SCAN PBEsol geometry" raw_formation_energy_mev_per_atom=-475 volume_a3_per_cell=52.4 polymorph_energy_ev_per_atom=0.000 space_group=P4/mmm pbc="T T T"
Fe 0.0000 0.0000 0.0000
Ni 1.8791 1.8791 1.8560
N 1.8791 1.8791 0.0000
F 0.0000 1.8791 1.8560
F 1.8791 0.0000 1.8560